# CuSn2Pt GGA-PBE optimized geometry
# - V: 23.51 Å³/atom
# - DOS at the Fermi energy: 7.01 states/eV per cell
# - Calculated density: 8759 kg/m3
# - E_tot: -4.53 eV per atom
# - Energy of formation from the pure elements: 0.006 eV/atom
# - Energy above the most stable polymorph in this dataset: 53 meV per atom
# - Spin magnetization: 0.000 μB per atom
data_CuSn2Pt
_space_group_name_H-M_alt 'R -3 m'
_space_group_IT_number 166
_space_group_name_Hall '-R 3 2"'
_cell_length_a 3.5371
_cell_length_b 3.5371
_cell_length_c 26.0393
_cell_angle_alpha 90.00
_cell_angle_beta 90.00
_cell_angle_gamma 120.00
loop_
_atom_site_label
_atom_site_fract_x
_atom_site_fract_y
_atom_site_fract_z
_atom_site_occupancy
Cu1 0.0000 0.0000 0.0000 1
Sn1 0.0000 0.0000 0.0969 1
Pt1 0.0000 0.0000 0.5000 1

---

# Cu2SnPt GGA-PBE optimized geometry
# - V: 15.30 Å³/atom
# - DOS at the Fermi energy: 1.65 states/eV per cell
# - Calculated density: 11966 kg/m3
# - E_tot: -4.73 eV per atom
# - Energy of formation from the pure elements: -0.169 eV/atom
# - Spin magnetization: 0.000 μB per atom
data_Cu2SnPt
_space_group_name_H-M_alt 'P 4/m m m'
_space_group_IT_number 123
_space_group_name_Hall '-P 4 2'
_cell_length_a 3.948
_cell_length_b 3.948
_cell_length_c 3.926
_cell_angle_alpha 90.00
_cell_angle_beta 90.00
_cell_angle_gamma 90.00
loop_
_atom_site_label
_atom_site_fract_x
_atom_site_fract_y
_atom_site_fract_z
_atom_site_occupancy
Cu1 0.000 0.500 0.000 1
Sn1 0.000 0.000 0.500 1
Pt1 0.500 0.500 0.500 1

---

# CuSn2Pt GGA-PBE optimized geometry
# - V: 20.85 Å³/atom
# - DOS at the Fermi energy: 9.04 states/eV per cell
# - Calculated density: 9875 kg/m3
# - E_tot: -4.47 eV per atom
# - Energy of formation from the pure elements: 0.061 eV/atom
# - Energy above the most stable polymorph in this dataset: 107 meV per atom
# - Spin magnetization: 0.000 μB per atom
data_CuSn2Pt
_space_group_name_H-M_alt 'I -4 2 d'
_space_group_IT_number 122
_space_group_name_Hall 'I -4 2bw'
_cell_length_a 7.438
_cell_length_b 7.438
_cell_length_c 6.031
_cell_angle_alpha 90.00
_cell_angle_beta 90.00
_cell_angle_gamma 90.00
loop_
_atom_site_label
_atom_site_fract_x
_atom_site_fract_y
_atom_site_fract_z
_atom_site_occupancy
Cu1 0.000 0.000 0.000 1
Sn1 0.249 0.750 0.625 1
Pt1 0.000 0.000 0.500 1

---

# Cu2Sn2Pt GGA-PBE optimized geometry
# - V: 18.99 Å³/atom
# - DOS at the Fermi energy: 4.25 states/eV per cell
# - Calculated density: 9786 kg/m3
# - E_tot: -4.37 eV per atom
# - Energy of formation from the pure elements: 0.081 eV/atom
# - Energy above the most stable polymorph in this dataset: 113 meV per atom
# - Spin magnetization: 0.000 μB per atom
data_Cu2Sn2Pt
_space_group_name_H-M_alt 'P 4/m b m'
_space_group_IT_number 127
_space_group_name_Hall '-P 4 2ab'
_cell_length_a 7.009
_cell_length_b 7.009
_cell_length_c 3.866
_cell_angle_alpha 90.00
_cell_angle_beta 90.00
_cell_angle_gamma 90.00
loop_
_atom_site_label
_atom_site_fract_x
_atom_site_fract_y
_atom_site_fract_z
_atom_site_occupancy
Cu1 0.130 0.370 0.000 1
Sn1 0.158 0.658 0.500 1
Pt1 0.000 0.000 0.500 1